(1)
Na3Co5Br12: relaxed, PBE.

Cell lengths 14.088, 14.088, 14.088 Å; angles 109.47, 109.47, 109.47 degrees
Element x y z (fractional)
1 Na 0.750 0.375 0.125
2 Na 0.875 0.750 0.125
3 Na 0.375 0.750 0.625
4 Na 0.250 0.125 0.375
5 Na 0.875 0.125 0.250
6 Na 0.375 0.625 0.250
7 Na 0.625 0.375 0.750
8 Na 0.125 0.875 0.750
9 Na 0.750 0.875 0.625
10 Na 0.625 0.250 0.375
11 Na 0.125 0.250 0.875
12 Na 0.250 0.625 0.875
13 Co 0.125 0.375 0.250
14 Co 0.000 0.500 0.000
15 Co 0.000 0.000 0.000
16 Co 0.375 0.250 0.125
17 Co 0.500 0.000 0.500
18 Co 0.500 0.500 0.000
19 Co 0.125 0.750 0.375
20 Co 0.750 0.125 0.875
21 Co 0.750 0.625 0.375
22 Co 0.375 0.125 0.750
23 Co 0.625 0.875 0.250
24 Co 0.500 0.500 0.500
25 Co 0.500 0.000 0.000
26 Co 0.000 0.000 0.500
27 Co 0.250 0.375 0.625
28 Co 0.250 0.875 0.125
29 Co 0.000 0.500 0.500
30 Co 0.875 0.250 0.625
31 Co 0.625 0.750 0.875
32 Co 0.875 0.625 0.750
33 Br 0.702 0.117 0.023
34 Br 0.321 0.523 0.405
35 Br 0.977 0.383 0.298
36 Br 0.523 0.202 0.117
37 Br 0.584 0.702 0.679
38 Br 0.977 0.595 0.179
39 Br 0.321 0.798 0.416
40 Br 0.095 0.916 0.117
41 Br 0.595 0.977 0.679
42 Br 0.702 0.584 0.179
43 Br 0.798 0.477 0.383
44 Br 0.821 0.905 0.023
45 Br 0.117 0.702 0.523
46 Br 0.383 0.405 0.084
47 Br 0.084 0.905 0.383
48 Br 0.416 0.117 0.595
49 Br 0.084 0.179 0.202
50 Br 0.477 0.679 0.095
51 Br 0.821 0.916 0.298
52 Br 0.117 0.416 0.095
53 Br 0.383 0.977 0.798
54 Br 0.595 0.617 0.416
55 Br 0.905 0.821 0.523
56 Br 0.798 0.321 0.916
57 Br 0.405 0.383 0.584
58 Br 0.095 0.179 0.477
59 Br 0.202 0.679 0.084
60 Br 0.179 0.084 0.702
61 Br 0.617 0.023 0.202
62 Br 0.883 0.584 0.905
63 Br 0.523 0.321 0.905
64 Br 0.584 0.883 0.405
65 Br 0.916 0.821 0.798
66 Br 0.916 0.095 0.617
67 Br 0.883 0.298 0.477
68 Br 0.179 0.095 0.977
69 Br 0.617 0.595 0.916
70 Br 0.405 0.023 0.321
71 Br 0.298 0.416 0.821
72 Br 0.202 0.523 0.617
73 Br 0.905 0.084 0.883
74 Br 0.679 0.202 0.584
75 Br 0.477 0.798 0.883
76 Br 0.023 0.405 0.821
77 Br 0.416 0.298 0.321
78 Br 0.023 0.617 0.702
79 Br 0.679 0.477 0.595
80 Br 0.298 0.883 0.977

Output
Energy relative to the elements, uncorrected in meV per atom: -588.9
Total DFT energy (no corrections) in eV/atom: -3.567
Magnetization in μB per cell: 56.00

=====

(2)
PuFeSi2: relaxed, PBE.

Cell lengths 2.946, 2.946, 6.856 Å; angles 90.00, 90.00, 90.00 degrees
Element x y z (fractional)
1 Si 0.000 0.000 0.815
2 Si 0.000 0.000 0.185
3 Fe 0.500 0.500 0.000
4 Pu 0.500 0.500 0.500

Output
Energy relative to the elements, uncorrected in meV per atom: -350.5
Total DFT energy (no corrections) in eV/atom: -8.761
Magnetization in μB per cell: 4.81